*a*
Tl2CuTc: optimized geometry, GGA-PBEsol.

Unit cell a=3.138 b=5.277 c=8.897 alpha=90.00 beta=90.00 gamma=90.00
Space group Cmmm (No. 65)
Asymmetric unit:
Tl (0.000, 0.000, 0.244) x4
Cu (0.000, 0.500, 0.000) x2
Tc (0.000, 0.500, 0.500) x2



*b*
Tl2CuTc: optimized geometry, GGA-PBEsol.

Unit cell a=3.393 b=3.393 c=6.104 alpha=90.00 beta=90.00 gamma=90.00
Space group P4/mmm (No. 123)
Asymmetric unit:
Tl (0.000, 0.000, 0.249) x2
Cu (0.500, 0.500, 0.000) x1
Tc (0.500, 0.500, 0.500) x1



Going by the energies, *b* is most stable and the next is 0.059 eV/atom up.



*a*
TlCuTc: optimized geometry, GGA-PBEsol.

Unit cell a=2.827 b=3.440 c=9.758 alpha=90.00 beta=90.00 gamma=90.00
Space group Imm2 (No. 44)
Asymmetric unit:
Tl (0.000, 0.000, 0.000) x2
Cu (0.000, 0.000, 0.674) x2
Tc (0.000, 0.000, 0.308) x2



*b*
TlCuTc: optimized geometry, GGA-PBEsol.

Unit cell a=5.957 b=5.957 c=5.957 alpha=90.00 beta=90.00 gamma=90.00
Space group F-43m (No. 216)
Asymmetric unit:
Tl (0.000, 0.000, 0.000) x4
Cu (0.250, 0.250, 0.750) x4
Tc (0.000, 0.000, 0.500) x4



Going by the energies, *a* is most stable and the next is 0.230 eV/atom up.



*a*
Cu2TcW: optimized geometry, GGA-PBEsol.

Unit cell a=3.614 b=3.614 c=4.014 alpha=90.00 beta=90.00 gamma=90.00
Space group P4/mmm (No. 123)
Asymmetric unit:
Cu (0.000, 0.500, 0.000) x2
Tc (0.000, 0.000, 0.500) x1
W (0.500, 0.500, 0.500) x1



*b*
Cu2TcW: optimized geometry, GGA-PBEsol.

Unit cell a=8.841 b=2.550 c=4.741 alpha=90.00 beta=97.09 gamma=90.00
Space group Cm (No. 8)
Asymmetric unit:
Cu (0.000, 0.000, 0.000) x2
Cu (0.246, 0.500, 0.222) x2
Tc (0.254, 0.000, 0.734) x2
W (0.494, 0.000, 0.489) x2



*c*
Cu2TcW: optimized geometry, GGA-PBEsol.

Unit cell a=3.114 b=4.178 c=8.238 alpha=90.00 beta=90.00 gamma=90.00
Space group Cmm2 (No. 35)
Asymmetric unit:
Cu (0.000, 0.000, 0.000) x2
Cu (0.000, 0.500, 0.229) x2
Tc (0.000, 0.500, 0.749) x2
W (0.000, 0.000, 0.485) x2



Going by the energies, *a* is most stable and the next is 0.007 eV/atom up.



*a*
Cu2TcW: optimized geometry, GGA-PBEsol.

Unit cell a=2.591 b=3.867 c=5.319 alpha=90.00 beta=90.00 gamma=90.00
Space group Pmm2 (No. 25)
Asymmetric unit:
Cu (0.000, 0.000, 0.000) x1
Cu (0.500, 0.500, 0.222) x1
Tc (0.000, 0.000, 0.484) x1
W (0.500, 0.500, 0.737) x1



*b*
Cu2TcW: optimized geometry, GGA-PBEsol.

Unit cell a=5.989 b=5.989 c=5.989 alpha=90.00 beta=90.00 gamma=90.00
Space group F-43m (No. 216)
Asymmetric unit:
Cu (0.000, 0.000, 0.000) x4
Cu (0.250, 0.250, 0.250) x4
Tc (0.250, 0.250, 0.750) x4
W (0.000, 0.000, 0.500) x4



Going by the energies, *a* is most stable and the next is 0.102 eV/atom up.



*a*
Cu2TcW: optimized geometry, GGA-PBEsol.

Unit cell a=9.004 b=2.659 c=4.535 alpha=90.00 beta=100.07 gamma=90.00
Space group C2/m (No. 12)
Asymmetric unit:
Cu (0.249, 0.000, 0.249) x4
Tc (0.000, 0.500, 0.000) x2
W (0.000, 0.000, 0.500) x2



*b*
Cu2TcW: optimized geometry, GGA-PBEsol.

Unit cell a=2.624 b=2.624 c=7.636 alpha=90.00 beta=90.00 gamma=90.00
Space group P4mm (No. 99)
Asymmetric unit:
Cu (0.000, 0.000, 0.000) x1
Cu (0.500, 0.500, 0.220) x1
Tc (0.000, 0.000, 0.463) x1
W (0.500, 0.500, 0.748) x1



Going by the energies, *b* is most stable and the next is 0.042 eV/atom up.



*a*
YCu2Tc: optimized geometry, GGA-PBEsol.

Unit cell a=3.298 b=3.298 c=5.796 alpha=90.00 beta=90.00 gamma=90.00
Space group P4/mmm (No. 123)
Asymmetric unit:
Y (0.000, 0.000, 0.000) x1
Cu (0.500, 0.500, 0.294) x2
Tc (0.000, 0.000, 0.500) x1



*b*
YCu2Tc: optimized geometry, GGA-PBEsol.

Unit cell a=3.859 b=3.859 c=8.339 alpha=90.00 beta=90.00 gamma=90.00
Space group I-4m2 (No. 119)
Asymmetric unit:
Y (0.000, 0.000, 0.000) x2
Cu (0.000, 0.000, 0.500) x2
Cu (0.000, 0.500, 0.250) x2
Tc (0.000, 0.500, 0.750) x2



Going by the energies, *a* is most stable and the next is 0.053 eV/atom up.



*a*
TlCu2W: optimized geometry, GGA-PBEsol.

Unit cell a=2.817 b=4.837 c=9.323 alpha=90.00 beta=90.00 gamma=90.00
Space group Immm (No. 71)
Asymmetric unit:
Tl (0.000, 0.000, 0.000) x2
Cu (0.000, 0.500, 0.239) x4
W (0.000, 0.000, 0.500) x2



*b*
TlCu2W: optimized geometry, GGA-PBEsol.

Unit cell a=2.8564 b=2.8564 c=26.8975 alpha=90.00 beta=90.00 gamma=120.00
Space group R-3m (No. 166, hexagonal axes)
Asymmetric unit:
Tl (0.0000, 0.0000, 0.0000) x3
Cu (0.0000, 0.0000, 0.2446) x6
W (0.0000, 0.0000, 0.5000) x3



Going by the energies, *b* is most stable and the next is 0.165 eV/atom up.



*a*
CuW: optimized geometry, GGA-PBEsol.

Unit cell a=2.7065 b=2.7065 c=8.8361 alpha=90.00 beta=90.00 gamma=120.00
Space group P-3m1 (No. 164)
Asymmetric unit:
Cu (0.3333, 0.6667, 0.1134) x2
W (0.3333, 0.6667, 0.6382) x2



*b*
CuW: optimized geometry, GGA-PBEsol.

Unit cell a=3.000 b=3.000 c=3.000 alpha=90.00 beta=90.00 gamma=90.00
Space group Pm-3m (No. 221)
Asymmetric unit:
Cu (0.000, 0.000, 0.000) x1
W (0.500, 0.500, 0.500) x1



*c*
CuW: optimized geometry, GGA-PBEsol.

Unit cell a=8.876 b=2.603 c=4.787 alpha=90.00 beta=97.69 gamma=90.00
Space group C2/m (No. 12)
Asymmetric unit:
Cu (0.129, 0.000, 0.384) x4
W (0.119, 0.500, 0.867) x4



Going by the energies, *c* is most stable and the next is 0.009 eV/atom up.



*a*
CuW3: optimized geometry, GGA-PBEsol.

Unit cell a=2.661 b=2.661 c=8.358 alpha=90.00 beta=90.00 gamma=90.00
Space group P4/mmm (No. 123)
Asymmetric unit:
Cu (0.000, 0.000, 0.000) x1
W (0.000, 0.000, 0.500) x1
W (0.500, 0.500, 0.228) x2



*b*
CuW3: optimized geometry, GGA-PBEsol.

Unit cell a=9.107 b=2.631 c=5.017 alpha=90.00 beta=96.45 gamma=90.00
Space group C2/m (No. 12)
Asymmetric unit:
Cu (0.000, 0.000, 0.000) x2
W (0.000, 0.500, 0.500) x2
W (0.243, 0.500, 0.241) x4



Going by the energies, *a* is most stable and the next is 0.014 eV/atom up.



*a*
ZrCu2W: optimized geometry, GGA-PBEsol.

Unit cell a=3.788 b=3.788 c=8.342 alpha=90.00 beta=90.00 gamma=90.00
Space group I-4m2 (No. 119)
Asymmetric unit:
Zr (0.000, 0.000, 0.000) x2
Cu (0.000, 0.000, 0.500) x2
Cu (0.000, 0.500, 0.250) x2
W (0.000, 0.500, 0.750) x2



*b*
ZrCu2W: optimized geometry, GGA-PBEsol.

Unit cell a=3.241 b=3.241 c=5.774 alpha=90.00 beta=90.00 gamma=90.00
Space group P4mm (No. 99)
Asymmetric unit:
Zr (0.000, 0.000, 0.000) x1
Cu (0.000, 0.000, 0.481) x1
Cu (0.500, 0.500, 0.268) x1
W (0.500, 0.500, 0.709) x1



*c*
ZrCu2W: optimized geometry, GGA-PBEsol.

Unit cell a=3.942 b=3.942 c=7.634 alpha=90.00 beta=90.00 gamma=90.00
Space group I4/mmm (No. 139)
Asymmetric unit:
Zr (0.000, 0.000, 0.000) x2
Cu (0.000, 0.500, 0.250) x4
W (0.000, 0.000, 0.500) x2



*d*
ZrCu2W: optimized geometry, GGA-PBEsol.

Unit cell a=2.833 b=4.649 c=9.060 alpha=90.00 beta=90.00 gamma=90.00
Space group Imm2 (No. 44)
Asymmetric unit:
Zr (0.000, 0.000, 0.000) x2
Cu (0.000, 0.000, 0.477) x2
Cu (0.000, 0.500, 0.761) x2
W (0.000, 0.500, 0.228) x2



Going by the energies, *c* is most stable and the next is 0.029 eV/atom up.



*a*
YZr2Cu: optimized geometry, GGA-PBEsol.

Unit cell a=3.226 b=5.098 c=5.207 alpha=90.00 beta=98.53 gamma=90.00
Space group P2/m (No. 10)
Asymmetric unit:
Y (0.000, 0.000, 0.000) x1
Zr (0.321, 0.500, 0.731) x2
Cu (0.500, 0.000, 0.500) x1



*b*
YZr2Cu: optimized geometry, GGA-PBEsol.

Unit cell a=5.997 b=9.001 c=3.103 alpha=90.00 beta=90.00 gamma=90.00
Space group Cmmm (No. 65)
Asymmetric unit:
Y (0.000, 0.000, 0.000) x2
Zr (0.250, 0.250, 0.500) x4
Cu (0.000, 0.500, 0.000) x2



*c*
YZr2Cu: optimized geometry, GGA-PBEsol.

Unit cell a=3.2296 b=3.2296 c=28.6261 alpha=90.00 beta=90.00 gamma=120.00
Space group R-3m (No. 166, hexagonal axes)
Asymmetric unit:
Y (0.0000, 0.0000, 0.0000) x3
Zr (0.0000, 0.0000, 0.2376) x6
Cu (0.0000, 0.0000, 0.5000) x3



*d*
YZr2Cu: optimized geometry, GGA-PBEsol.

Unit cell a=3.266 b=4.904 c=10.664 alpha=90.00 beta=90.00 gamma=90.00
Space group Immm (No. 71)
Asymmetric unit:
Y (0.000, 0.000, 0.000) x2
Zr (0.000, 0.500, 0.212) x4
Cu (0.000, 0.000, 0.500) x2



Going by the energies, *d* is most stable and the next is 0.201 eV/atom up.



*a*
Zn4Cu3: optimized geometry, GGA-PBEsol.

Unit cell a=2.950 b=2.950 c=20.253 alpha=90.00 beta=90.00 gamma=90.00
Space group I4/mmm (No. 139)
Asymmetric unit:
Zn (0.000, 0.000, 0.070) x4
Zn (0.000, 0.000, 0.351) x4
Cu (0.000, 0.000, 0.217) x4
Cu (0.000, 0.000, 0.500) x2



*b*
Zn4Cu3: optimized geometry, GGA-PBEsol.

Unit cell a=4.7441 b=4.7441 c=4.6710 alpha=90.00 beta=90.00 gamma=120.00
Space group P6/mmm (No. 191)
Asymmetric unit:
Zn (0.0000, 0.0000, 0.2489) x2
Zn (0.3333, 0.6667, 0.0000) x2
Cu (0.0000, 0.5000, 0.5000) x3



Going by the energies, *a* is most stable and the next is 0.049 eV/atom up.